Entry 1:
SrAlNi4 | GGA-PBE | relaxed

Cell: 4.9963 4.9963 4.9963 Å, 60.00 60.00 60.00°
Closest atoms and distances in Å follow each position.
Fractional positions:
Sr 0.0000 0.0000 0.0000  12 Ni 2.93, 4 Al 3.06
Al 0.7500 0.7500 0.7500  12 Ni 2.93, 4 Sr 3.06
Ni 0.3770 0.3770 0.3770  6 Ni 2.46-2.54
Ni 0.3770 0.3770 0.8689  6 Ni 2.46-2.54
Ni 0.3770 0.8689 0.3770  6 Ni 2.46-2.54
Ni 0.8689 0.3770 0.3770  6 Ni 2.46-2.54

Calculated density in Mg/m³: 6.58
Energy of formation from the pure elements in meV per atom: -70

---

Entry 2:
MoI | GGA-PBE | relaxed

Cell: 6.0818 6.0818 6.0818 Å, 90.00 90.00 90.00°
Closest atoms and distances in Å follow each position.
Fractional positions:
Mo 0.0000 0.0000 0.0000  4 I 2.63
Mo 0.0000 0.5000 0.5000  4 I 2.63
Mo 0.5000 0.0000 0.5000  4 I 2.63
Mo 0.5000 0.5000 0.0000  4 I 2.63
I 0.2500 0.2500 0.7500  4 Mo 2.63
I 0.2500 0.7500 0.2500  4 Mo 2.63
I 0.7500 0.2500 0.2500  4 Mo 2.63
I 0.7500 0.7500 0.7500  4 Mo 2.63

Distance to the lowest polymorph of the same formula in eV per atom: 1.1518
Calculated density in Mg/m³: 6.58